[1]
Density functional theory data (PBE-GGA) for BeAlTc after structural relaxation.

Values from the calculation:
Calculated volume (Å³/atom): 13.149
Energy relative to the lowest polymorph listed for this composition (eV per formula unit): 0.94
ΔH_f (0 K) (eV per atom): 0.09
DOS at the Fermi energy (states/eV per cell): 9.5
E (eV for the cell shown): -70.25

Geometry as CIF:
```
data_BeAlTc
_chemical_formula_sum 'Be4 Al4 Tc4'
_cell_length_a 3.183
_cell_length_b 4.278
_cell_length_c 11.587
_cell_angle_alpha 90.00
_cell_angle_beta 90.00
_cell_angle_gamma 90.00
_symmetry_space_group_name_H-M 'F m m 2'
_symmetry_Int_Tables_number 42
_symmetry_space_group_name_Hall 'F 2 -2'
loop_
_atom_site_label
_atom_site_type_symbol
_atom_site_fract_x
_atom_site_fract_y
_atom_site_fract_z
Be1 Be 0.000 0.000 0.000
Al1 Al 0.000 0.000 0.329
Tc1 Tc 0.000 0.000 0.651
```


[2]
Density functional theory data (PBE-GGA) for Sr2TmHfO6 after structural relaxation.

Values from the calculation:
Calculated volume (Å³/atom): 14.718
DOS at the Fermi energy (states/eV per cell): 18.6
Raw formation energy (eV per atom): -3.106
E (eV for the cell shown): -157.20

Geometry as CIF:
```
data_Sr2TmHfO6
_chemical_formula_sum 'Sr4 Tm2 Hf2 O12'
_cell_length_a 5.882
_cell_length_b 5.985
_cell_length_c 10.222
_cell_angle_alpha 90.00
_cell_angle_beta 125.11
_cell_angle_gamma 90.00
_symmetry_space_group_name_H-M 'P 1 21/c 1'
_symmetry_Int_Tables_number 14
loop_
_symmetry_equiv_pos_as_xyz
'x,y,z'
'-x,-y,-z'
'-x,y+1/2,-z+1/2'
'x,-y+1/2,z+1/2'
loop_
_atom_site_label
_atom_site_type_symbol
_atom_site_fract_x
_atom_site_fract_y
_atom_site_fract_z
Sr1 Sr 0.241 0.039 0.251
Tm1 Tm 0.500 0.000 0.000
Hf1 Hf 0.000 0.000 0.500
O1 O 0.155 0.220 0.953
O2 O 0.239 0.704 0.957
O3 O 0.327 0.028 0.742
```


[3]
Density functional theory data (PBE-GGA) for Ba2GaAg3Ge4 after structural relaxation.

Values from the calculation:
Calculated volume (Å³/atom): 23.653
ΔH_f (0 K) (eV per atom): -0.32
DOS at the Fermi energy (states/eV per cell): 4.8
E (eV for the cell shown): -37.07

Geometry as CIF:
```
data_Ba2GaAg3Ge4
_chemical_formula_sum 'Ba2 Ga1 Ag3 Ge4'
_cell_length_a 4.598
_cell_length_b 4.598
_cell_length_c 11.187
_cell_angle_alpha 90.00
_cell_angle_beta 90.00
_cell_angle_gamma 90.00
_symmetry_space_group_name_H-M 'P -4 m 2'
_symmetry_Int_Tables_number 115
loop_
_symmetry_equiv_pos_as_xyz
'x,y,z'
'y,-x,-z'
'-x,-y,z'
'-y,x,-z'
'-x,y,z'
'-y,-x,-z'
'x,-y,z'
'y,x,-z'
loop_
_atom_site_label
_atom_site_type_symbol
_atom_site_fract_x
_atom_site_fract_y
_atom_site_fract_z
Ba1 Ba 0.000 0.500 0.248
Ga1 Ga 0.500 0.500 0.000
Ag1 Ag 0.000 0.000 0.000
Ag2 Ag 0.000 0.500 0.629
Ge1 Ge 0.000 0.000 0.500
Ge2 Ge 0.000 0.500 0.869
Ge3 Ge 0.500 0.500 0.500
```


[4]
Density functional theory data (PBE-GGA) for Li2Cu3Rh after structural relaxation.

Values from the calculation:
Calculated volume (Å³/atom): 12.721
Energy relative to the lowest polymorph listed for this composition (eV per formula unit): 0.18
ΔH_f (0 K) (eV per atom): -0.05
DOS at the Fermi energy (states/eV per cell): 6.7
E (eV for the cell shown): -47.52

Geometry as CIF:
```
data_Li2Cu3Rh
_chemical_formula_sum 'Li4 Cu6 Rh2'
_cell_length_a 4.207
_cell_length_b 12.588
_cell_length_c 2.883
_cell_angle_alpha 90.00
_cell_angle_beta 90.00
_cell_angle_gamma 90.00
_symmetry_space_group_name_H-M 'C m m m'
_symmetry_Int_Tables_number 65
_symmetry_space_group_name_Hall '-C 2 2'
loop_
_atom_site_label
_atom_site_type_symbol
_atom_site_fract_x
_atom_site_fract_y
_atom_site_fract_z
Li1 Li 0.000 0.159 0.000
Cu1 Cu 0.000 0.000 0.500
Cu2 Cu 0.000 0.329 0.500
Rh1 Rh 0.000 0.500 0.000
```


Look up the DOS at the Fermi energy of the first one. 9.5 states/eV per cell